1.
# Na2LaPt

Na2LaPt after structural relaxation (PBE, Alexandria).

a b c (Å): 4.197 4.197 24.552
angles (deg): 90.00 90.00 90.00
Space group I-42d (No. 122)
Unique sites:
Na  0.216  0.250  0.125
La  0.000  0.000  0.500
Pt  0.000  0.000  0.000

Calculated values
- ΔE to the lowest computed polymorph (meV/atom) = 0
- crystal system = tetragonal
- total magnetization (μB per atom) = 0.00
- ρ (g/cm3) = 5.8
- density of states at the Fermi level (states/eV per cell) = 10.2

***

2.
# NiOs2Pb

NiOs2Pb after structural relaxation (PBE, Alexandria).

a b c (Å): 2.876 4.550 4.999
angles (deg): 90.00 91.69 90.00
Space group P2/m (No. 10)
Unique sites:
Ni  0.000  0.000  0.000
Os  0.250  0.500  0.788
Pb  0.500  0.000  0.500

Calculated values
- crystal system = monoclinic
- energy (hartree per atom) = -0.2637
- total magnetization (μB per atom) = 0.00
- ρ (g/cm3) = 16.4
- density of states at the Fermi level (states/eV per cell) = 4.4